VASP calculation (PBE) on CdFeNi2N after structural relaxation.

Lattice parameters (Å, degrees): 3.9049 3.9049 3.8199 90.00 90.00 90.00
With the nearest neighbours (Å) after each atom.
Element x y z (fractional)
1 Cd 0.0000 0.0000 0.0000  8 Ni 2.73, 4 Fe 2.76
2 Fe 0.5000 0.5000 0.0000  2 N 1.91
3 Ni 0.0000 0.5000 0.5000  2 N 1.95
4 Ni 0.5000 0.0000 0.5000  2 N 1.95
5 N 0.5000 0.5000 0.5000  2 Fe 1.91, 4 Ni 1.95

Properties
- Total moment: 2.2 μB per formula unit
- Electronic total energy: -29.4 eV/f.u.
- V: 11.6 A^3/atom